The following is a PBE-GGA calculation of a geometry-optimized CrPdIN2 structure, from Alexandria.

The space group is P4/mmm (No. 123) and the conventional cell measures 3.886, 3.886 and 7.366 Å, with angles of 90.00, 90.00 and 90.00 degrees. Symmetry generates all atoms from Cr at (0.000, 0.000, 0.000), Pd at (0.500, 0.500, 0.500), I at (0.500, 0.500, 0.000) and N at (0.000, 0.500, 0.500).

As for the formation energy (no corrections): 184.67 kJ/mol of atoms. Its density of states at the Fermi level is 5.47 states/eV/f.u. The value obtained for the total magnetic moment is 3.5 Bohr magnetons per cell. The value obtained for the energy above the most stable polymorph in this dataset is 1.2496 eV per atom.